# 1
First-principles (PBE+U) data for NaSrTbFeO6 after structural relaxation, as listed in Alexandria via LeMat-Bulk.

The value obtained for the volume is 134.6 Å³/f.u. Its symmetry is F-43m. The calculation puts the size of the total moment at 4.037 μB/cell. For the uncorrected energy, the calculation gives -61.9 eV per cell.

Cell: 5.7530 5.7530 5.7530 Å, 60.00 60.00 60.00°
Closest atoms and distances in Å follow each position.
Atoms (fractional coordinates):
O 0.2287 0.7713 0.2287  1 Fe 1.86
Sr 0.2500 0.2500 0.2500  12 O 2.88
O 0.7713 0.2287 0.2287  1 Fe 1.86
O 0.2287 0.7713 0.7713  1 Fe 1.86
O 0.7713 0.7713 0.2287  1 Fe 1.86
O 0.7713 0.2287 0.7713  1 Fe 1.86
Fe 0.0000 0.0000 0.0000  6 O 1.86
Na 0.7500 0.7500 0.7500  12 O 2.88
O 0.2287 0.2287 0.7713  1 Fe 1.86
Tb 0.5000 0.5000 0.5000  6 O 2.21

=====

# 2
First-principles (PBE+U) data for NaFeTcO5 after structural relaxation, as listed in Alexandria via LeMat-Bulk.

The value obtained for the volume is 118.0 Å³/f.u. Its symmetry is C2/c. The calculation puts the size of the total moment at 8.014 μB/cell. For the uncorrected energy, the calculation gives -107.1 eV per cell.

Cell: 6.0523 6.0523 7.1705 Å, 101.83 101.83 106.88°
Closest atoms and distances in Å follow each position.
Atoms (fractional coordinates):
Na 0.7062 0.2938 0.7500  1 O 2.24
Na 0.2938 0.7062 0.2500  1 O 2.24
Fe 0.0000 0.0000 0.5000  2 O 1.90
O 0.0635 0.9365 0.2500  2 Fe 1.90
O 0.3414 0.8910 0.6262  1 Tc 1.76
O 0.7369 0.6090 0.4241  1 Tc 1.75
O 0.1090 0.6586 0.8738  1 Tc 1.76
Tc 0.3322 0.6678 0.7500  4 O 1.75-1.76
O 0.6090 0.7369 0.9241  1 Tc 1.75
O 0.6586 0.1090 0.3738  1 Tc 1.76
O 0.9365 0.0635 0.7500  2 Fe 1.90
O 0.2631 0.3910 0.5759  1 Tc 1.75
O 0.8910 0.3414 0.1262  1 Tc 1.76
O 0.3910 0.2631 0.0759  1 Tc 1.75
Fe 0.0000 0.0000 0.0000  2 O 1.90
Tc 0.6678 0.3322 0.2500  4 O 1.75-1.76

=====

# 3
First-principles (PBE+U) data for NaFeTe2O8 after structural relaxation, as listed in Alexandria via LeMat-Bulk.

The value obtained for the volume is 169.5 Å³/f.u. Its symmetry is P-3. The calculation puts the size of the total moment at 0.928 μB/cell. For the uncorrected energy, the calculation gives -61.8 eV per cell.

Cell: 5.4344 5.4344 6.6287 Å, 90.00 90.00 120.00°
Closest atoms and distances in Å follow each position.
Atoms (fractional coordinates):
O 0.6667 0.3333 0.3562  1 Te 1.83
Te 0.6667 0.3333 0.0795  1 O 1.83
O 0.6424 0.7129 0.1253  1 Fe 1.97, 2 Te 2.07-2.15
O 0.3333 0.6667 0.6438  1 Te 1.83
O 0.0705 0.3576 0.1253  1 Fe 1.97, 2 Te 2.07-2.15
O 0.3576 0.2871 0.8747  1 Fe 1.97, 2 Te 2.07-2.15
Na 0.0000 0.0000 0.5000  12 O 3.06-3.28, 2 Fe 3.31
Fe 0.0000 0.0000 0.0000  6 O 1.97
O 0.2871 0.9295 0.1253  1 Fe 1.97, 2 Te 2.07-2.15
Te 0.3333 0.6667 0.9205  1 O 1.83
O 0.7129 0.0705 0.8747  1 Fe 1.97, 2 Te 2.07-2.15
O 0.9295 0.6424 0.8747  1 Fe 1.97, 2 Te 2.07-2.15

=====

Which formula does entry 1 have? NaSrTbFeO6

=====

Which value of uncorrected energy does entry 1 give? -61.9 eV per cell

=====

What is the volume in the second record? 118.0 Å³/f.u.

=====

The highest volume belongs to which entry? NaFeTe2O8